Here is Co8Cu at its PBEsol-relaxed geometry from the Alexandria database. Energies are from SCAN.

POSCAR file:
```
Co8Cu
1.0
3.489 0.000 0.000
1.745 5.192 0.000
1.745 0.000 5.192
Co Cu
8 1
Cartesian
1.745 3.443 1.749
3.489 3.443 3.443
1.745 0.000 1.758
1.745 1.749 3.443
3.489 1.749 1.749
1.745 1.758 0.000
3.489 3.434 0.000
3.489 0.000 3.434
0.000 0.000 0.000
```

Summary:
Formation energy from the elements ... 0.056 eV/atom
VASP energy ... -17.015 eV/atom
V ... 10.5 A^3/atom
Space group ... No. 139
Crystal system ... tetragonal